Material: NaCuN3
Method: DFT, PBE-GGA
State: relaxed

Output
Crystal system ... cubic
Total moment ... 0.00 μB per cell
ΔE_f (raw) ... 15.9 eV per formula unit
Symmetry ... No. 221

abc: 3.9890 3.9890 3.9890
angles: 90.00 90.00 90.00
Atoms (fractional coordinates):
Na 0.0000 0.0000 0.0000
Cu 0.5000 0.5000 0.5000
N 0.0000 0.0000 0.5000
N 0.0000 0.5000 0.0000
N 0.5000 0.0000 0.0000